# 1
# PmSmOs, optimized geometry, DFT PBE
data_PmSmOs
_cell_length_a 3.460
_cell_length_b 3.460
_cell_length_c 7.306
_cell_angle_alpha 103.70
_cell_angle_beta 103.70
_cell_angle_gamma 90.00
_space_group_name_H-M_alt 'P 1'
_space_group_IT_number 1
loop_
_space_group_symop_operation_xyz
'x,y,z'
loop_
_atom_site_label
_atom_site_type_symbol
_atom_site_fract_x
_atom_site_fract_y
_atom_site_fract_z
_atom_site_occupancy
Os1 Os 0.949 0.949 0.899 1
Sm1 Sm 0.327 0.327 0.653 1
Pm1 Pm 0.574 0.574 0.148 1
# * DOS at the Fermi energy: 0.648 states/eV per atom
# * space-group type: I4mm
# * energy above the lowest structure with this stoichiometry: 14 meV/atom

***

# 2
# PmSm3Os, optimized geometry, DFT PBE
data_PmSm3Os
_cell_length_a 5.551
_cell_length_b 5.551
_cell_length_c 5.551
_cell_angle_alpha 90.00
_cell_angle_beta 90.00
_cell_angle_gamma 90.00
_space_group_name_H-M_alt 'P 1'
_space_group_IT_number 1
loop_
_space_group_symop_operation_xyz
'x,y,z'
loop_
_atom_site_label
_atom_site_type_symbol
_atom_site_fract_x
_atom_site_fract_y
_atom_site_fract_z
_atom_site_occupancy
Os1 Os 0.000 0.000 0.000 1
Sm1 Sm 0.000 0.500 0.000 1
Sm2 Sm 0.000 0.000 0.500 1
Sm3 Sm 0.500 0.000 0.000 1
Pm1 Pm 0.500 0.500 0.500 1
# * DOS at the Fermi energy: 1.390 states/eV per atom
# * space-group type: Pm-3m
# * energy above the lowest structure with this stoichiometry: 192 meV/atom

***

# 3
# Pm3SmOs8, optimized geometry, DFT PBE
data_Pm3SmOs8
_cell_length_a 5.423
_cell_length_b 5.423
_cell_length_c 9.391
_cell_angle_alpha 73.22
_cell_angle_beta 73.22
_cell_angle_gamma 60.00
_space_group_name_H-M_alt 'P 1'
_space_group_IT_number 1
loop_
_space_group_symop_operation_xyz
'x,y,z'
loop_
_atom_site_label
_atom_site_type_symbol
_atom_site_fract_x
_atom_site_fract_y
_atom_site_fract_z
_atom_site_occupancy
Pm1 Pm 0.374 0.374 0.878 1
Pm2 Pm 0.999 0.999 0.002 1
Pm3 Pm 0.499 0.499 0.502 1
Sm1 Sm 0.874 0.874 0.377 1
Os1 Os 0.932 0.440 0.189 1
Os2 Os 0.433 0.940 0.688 1
Os3 Os 0.440 0.440 0.189 1
Os4 Os 0.940 0.940 0.688 1
Os5 Os 0.190 0.190 0.430 1
Os6 Os 0.690 0.690 0.931 1
Os7 Os 0.440 0.932 0.189 1
Os8 Os 0.940 0.433 0.688 1
# * DOS at the Fermi energy: 1.135 states/eV per atom
# * space-group type: R3m
# * electronic total energy: -9.20 eV per atom

***

# 4
# PmSmZnOs, optimized geometry, DFT PBE
data_PmSmZnOs
_cell_length_a 5.029
_cell_length_b 5.029
_cell_length_c 5.029
_cell_angle_alpha 60.00
_cell_angle_beta 60.00
_cell_angle_gamma 60.00
_space_group_name_H-M_alt 'P 1'
_space_group_IT_number 1
loop_
_space_group_symop_operation_xyz
'x,y,z'
loop_
_atom_site_label
_atom_site_type_symbol
_atom_site_fract_x
_atom_site_fract_y
_atom_site_fract_z
_atom_site_occupancy
Zn1 Zn 0.000 0.000 0.000 1
Os1 Os 0.500 0.500 0.500 1
Sm1 Sm 0.250 0.250 0.250 1
Pm1 Pm 0.750 0.750 0.750 1
# * DOS at the Fermi energy: 1.146 states/eV per atom
# * space-group type: F-43m
# * electronic total energy: -5.65 eV per atom

***

# 5
# Pm2SnOs, optimized geometry, DFT PBE
data_Pm2SnOs
_cell_length_a 3.467
_cell_length_b 3.467
_cell_length_c 8.407
_cell_angle_alpha 90.00
_cell_angle_beta 90.00
_cell_angle_gamma 90.00
_space_group_name_H-M_alt 'P 1'
_space_group_IT_number 1
loop_
_space_group_symop_operation_xyz
'x,y,z'
loop_
_atom_site_label
_atom_site_type_symbol
_atom_site_fract_x
_atom_site_fract_y
_atom_site_fract_z
_atom_site_occupancy
Os1 Os 0.500 0.500 0.000 1
Sn1 Sn 0.500 0.500 0.500 1
Pm1 Pm 0.000 0.000 0.794 1
Pm2 Pm 0.000 0.000 0.206 1
# * DOS at the Fermi energy: 0.485 states/eV per atom
# * space-group type: P4/mmm
# * electronic total energy: -6.51 eV per atom

***

# 6
# PmSnOs, optimized geometry, DFT PBE
data_PmSnOs
_cell_length_a 3.452
_cell_length_b 3.452
_cell_length_c 13.431
_cell_angle_alpha 90.00
_cell_angle_beta 90.00
_cell_angle_gamma 120.00
_space_group_name_H-M_alt 'P 1'
_space_group_IT_number 1
loop_
_space_group_symop_operation_xyz
'x,y,z'
loop_
_atom_site_label
_atom_site_type_symbol
_atom_site_fract_x
_atom_site_fract_y
_atom_site_fract_z
_atom_site_occupancy
Os1 Os 0.611 0.222 0.000 1
Os2 Os 0.278 0.556 0.500 1
Sn1 Sn 0.611 0.222 0.360 1
Sn2 Sn 0.611 0.222 0.640 1
Pm1 Pm 0.278 0.555 0.841 1
Pm2 Pm 0.278 0.555 0.159 1
# * DOS at the Fermi energy: 0.555 states/eV per atom
# * space-group type: P-6m2
# * electronic total energy: -6.49 eV per atom

***

# 7
# Pm8SnOs2, optimized geometry, DFT PBE
data_Pm8SnOs2
_cell_length_a 5.587
_cell_length_b 8.071
_cell_length_c 8.071
_cell_angle_alpha 112.18
_cell_angle_beta 97.37
_cell_angle_gamma 97.37
_space_group_name_H-M_alt 'P 1'
_space_group_IT_number 1
loop_
_space_group_symop_operation_xyz
'x,y,z'
loop_
_atom_site_label
_atom_site_type_symbol
_atom_site_fract_x
_atom_site_fract_y
_atom_site_fract_z
_atom_site_occupancy
Pm1 Pm 0.572 0.328 0.068 1
Pm2 Pm 0.572 0.068 0.328 1
Pm3 Pm 0.203 0.389 0.389 1
Pm4 Pm 0.000 0.252 0.754 1
Pm5 Pm 0.000 0.754 0.252 1
Pm6 Pm 0.797 0.618 0.618 1
Pm7 Pm 0.428 0.938 0.678 1
Pm8 Pm 0.428 0.678 0.938 1
Sn1 Sn 0.000 0.003 0.003 1
Os1 Os 0.500 0.691 0.316 1
Os2 Os 0.500 0.316 0.691 1
# * DOS at the Fermi energy: 1.005 states/eV per atom
# * space-group type: Cm
# * electronic total energy: -6.04 eV per atom

***

# 8
# Pm4Sn8Os, optimized geometry, DFT PBE
data_Pm4Sn8Os
_cell_length_a 4.496
_cell_length_b 4.575
_cell_length_c 16.916
_cell_angle_alpha 90.00
_cell_angle_beta 90.00
_cell_angle_gamma 90.00
_space_group_name_H-M_alt 'P 1'
_space_group_IT_number 1
loop_
_space_group_symop_operation_xyz
'x,y,z'
loop_
_atom_site_label
_atom_site_type_symbol
_atom_site_fract_x
_atom_site_fract_y
_atom_site_fract_z
_atom_site_occupancy
Pm1 Pm 0.000 0.000 0.093 1
Pm2 Pm 0.000 0.500 0.607 1
Pm3 Pm 0.500 0.500 0.394 1
Pm4 Pm 0.500 0.000 0.900 1
Sn1 Sn 0.000 0.000 0.461 1
Sn2 Sn 0.000 0.500 0.934 1
Sn3 Sn 0.500 0.500 0.058 1
Sn4 Sn 0.500 0.000 0.578 1
Sn5 Sn 0.000 0.500 0.231 1
Sn6 Sn 0.000 0.000 0.752 1
Sn7 Sn 0.500 0.000 0.230 1
Sn8 Sn 0.500 0.500 0.755 1
Os1 Os 0.000 0.000 0.309 1
# * DOS at the Fermi energy: 0.613 states/eV per atom
# * space-group type: Pmm2
# * electronic total energy: -5.30 eV per atom

***

# 9
# PmSn2Os, optimized geometry, DFT PBE
data_PmSn2Os
_cell_length_a 4.522
_cell_length_b 4.522
_cell_length_c 5.862
_cell_angle_alpha 67.31
_cell_angle_beta 67.31
_cell_angle_gamma 60.00
_space_group_name_H-M_alt 'P 1'
_space_group_IT_number 1
loop_
_space_group_symop_operation_xyz
'x,y,z'
loop_
_atom_site_label
_atom_site_type_symbol
_atom_site_fract_x
_atom_site_fract_y
_atom_site_fract_z
_atom_site_occupancy
Os1 Os 0.500 0.500 0.500 1
Sn1 Sn 0.777 0.777 0.669 1
Sn2 Sn 0.223 0.223 0.331 1
Pm1 Pm 0.000 0.000 0.000 1
# * DOS at the Fermi energy: 0.632 states/eV per atom
# * space-group type: R-3m
# * energy above the lowest structure with this stoichiometry: 0 meV/atom

***

# 10
# Pm6Sn2Os, optimized geometry, DFT PBE
data_Pm6Sn2Os
_cell_length_a 4.410
_cell_length_b 8.333
_cell_length_c 8.330
_cell_angle_alpha 120.01
_cell_angle_beta 90.00
_cell_angle_gamma 90.00
_space_group_name_H-M_alt 'P 1'
_space_group_IT_number 1
loop_
_space_group_symop_operation_xyz
'x,y,z'
loop_
_atom_site_label
_atom_site_type_symbol
_atom_site_fract_x
_atom_site_fract_y
_atom_site_fract_z
_atom_site_occupancy
Pm1 Pm 0.500 0.596 0.000 1
Pm2 Pm 0.500 0.403 0.403 1
Pm3 Pm 0.500 0.000 0.597 1
Pm4 Pm 0.000 0.239 0.000 1
Pm5 Pm 0.000 0.762 0.762 1
Pm6 Pm 0.000 0.999 0.238 1
Sn1 Sn 0.000 0.333 0.666 1
Sn2 Sn 0.000 0.667 0.334 1
Os1 Os 0.500 0.001 0.000 1
# * DOS at the Fermi energy: 1.087 states/eV per atom
# * space-group type: Amm2
# * electronic total energy: -5.75 eV per atom

***

# 11
# PmSn2Os, optimized geometry, DFT PBE
data_PmSn2Os
_cell_length_a 4.545
_cell_length_b 4.417
_cell_length_c 4.417
_cell_angle_alpha 90.00
_cell_angle_beta 90.00
_cell_angle_gamma 90.00
_space_group_name_H-M_alt 'P 1'
_space_group_IT_number 1
loop_
_space_group_symop_operation_xyz
'x,y,z'
loop_
_atom_site_label
_atom_site_type_symbol
_atom_site_fract_x
_atom_site_fract_y
_atom_site_fract_z
_atom_site_occupancy
Os1 Os 0.500 0.500 0.500 1
Sn1 Sn 0.000 0.000 0.500 1
Sn2 Sn 0.000 0.500 0.000 1
Pm1 Pm 0.500 0.000 0.000 1
# * DOS at the Fermi energy: 0.495 states/eV per atom
# * space-group type: P4/mmm
# * energy above the lowest structure with this stoichiometry: 244 meV/atom

***

# 12
# Pm6SnOs, optimized geometry, DFT PBE
data_Pm6SnOs
_cell_length_a 6.643
_cell_length_b 8.042
_cell_length_c 6.542
_cell_angle_alpha 52.08
_cell_angle_beta 81.24
_cell_angle_gamma 75.65
_space_group_name_H-M_alt 'P 1'
_space_group_IT_number 1
loop_
_space_group_symop_operation_xyz
'x,y,z'
loop_
_atom_site_label
_atom_site_type_symbol
_atom_site_fract_x
_atom_site_fract_y
_atom_site_fract_z
_atom_site_occupancy
Pm1 Pm 0.788 0.562 0.628 1
Pm2 Pm 0.788 0.189 0.372 1
Pm3 Pm 0.212 0.811 0.628 1
Pm4 Pm 0.212 0.438 0.372 1
Pm5 Pm 0.639 0.789 0.000 1
Pm6 Pm 0.361 0.211 0.000 1
Sn1 Sn 0.000 0.000 0.000 1
Os1 Os 0.500 0.500 0.000 1
# * DOS at the Fermi energy: 0.995 states/eV per atom
# * space-group type: C2/m
# * electronic total energy: -5.55 eV per atom

***

Q: The highest DOS at the Fermi energy belongs to which entry?
A: PmSm3Os

***

Q: The highest DOS at the Fermi energy belongs to which entry?
A: PmSm3Os

***

Q: What is the formula in the fourth record?
A: PmSmZnOs